1) Crystalline CaTiAu2 at its relaxed geometry, computed with PBE-GGA.

Computed properties:
Mass density, g/cm³: 9.85

Cell lengths 4.8608, 4.8608, 4.8608 Å; angles 60.00, 60.00, 60.00 degrees
Fractional positions:
1 Ca 0.0000 0.0000 0.0000
2 Ti 0.5000 0.5000 0.5000
3 Au 0.2500 0.2500 0.2500
4 Au 0.7500 0.7500 0.7500



2) Crystalline CaTiAu2 at its relaxed geometry, computed with PBE-GGA.

Computed properties:
Mass density, g/cm³: 8.46

Cell lengths 6.2863, 6.2863, 6.2863 Å; angles 106.21, 106.21, 116.21 degrees
Fractional positions:
1 Ca 0.0000 0.0000 0.0000
2 Ca 0.7500 0.2500 0.5000
3 Ti 0.2500 0.7500 0.5000
4 Ti 0.5000 0.5000 0.0000
5 Au 0.1690 0.6250 0.0440
6 Au 0.3750 0.4190 0.5440
7 Au 0.5810 0.1250 0.9560
8 Au 0.8750 0.8310 0.4560



Result of the stability comparison: 1) is the most stable of them.



1) Crystalline Ca2Ti2Au at its relaxed geometry, computed with PBE-GGA.

Computed properties:
Mass density, g/cm³: 4.94

Cell lengths 6.8998, 6.8998, 5.2704 Å; angles 90.00, 90.00, 90.00 degrees
Fractional positions:
1 Ca 0.1776 0.3224 0.0000
2 Ca 0.3224 0.8224 0.0000
3 Ca 0.6776 0.1776 0.0000
4 Ca 0.8224 0.6776 0.0000
5 Ti 0.1345 0.6345 0.5000
6 Ti 0.3655 0.1345 0.5000
7 Ti 0.6345 0.8655 0.5000
8 Ti 0.8655 0.3655 0.5000
9 Au 0.0000 0.0000 0.5000
10 Au 0.5000 0.5000 0.5000



2) Crystalline Ca2Ti2Au at its relaxed geometry, computed with PBE-GGA.

Computed properties:
Mass density, g/cm³: 5.09

Cell lengths 7.6197, 7.6197, 7.6197 Å; angles 148.32, 148.32, 45.42 degrees
Fractional positions:
1 Ca 0.2500 0.7500 0.5000
2 Ca 0.7500 0.2500 0.5000
3 Ti 0.0712 0.0712 0.0000
4 Ti 0.9288 0.9288 0.0000
5 Au 0.5000 0.5000 0.0000



Result of the stability comparison: 1) is the most stable of them.